(1)
A geometry-optimized MgScNiGe structure. Source: Alexandria via LeMat-Bulk, functional PBE.

Values from the calculation:
energy relative to the elements: -0.409 eV/atom
symmetry: No. 216
M_tot: 0.00 μB/f.u.

Structure (extended XYZ):
```
4
Lattice="-1.3837 -3.0075 -3.1078 3.0082 -1.8889 -2.8286 1.0889 -4.3860 0.4424" Properties=species:S:1:pos:R:3 pbc="T T T"
Sc 2.0351 -6.9618 -4.1205
Ni 1.3567 -4.6412 -2.7470
Mg 0.6784 -2.3206 -1.3735
Ge 0.0000 0.0000 0.0000
```

---

(2)
A geometry-optimized LiRe2Pt structure. Source: Alexandria via LeMat-Bulk, functional PBE.

Values from the calculation:
energy relative to the elements: 0.429 eV/atom
symmetry: No. 122
M_tot: 0.00 μB/f.u.
energy above the most stable polymorph in this dataset: 478 meV per atom

Structure (extended XYZ):
```
8
Lattice="-2.9619 0.4736 2.0290 1.4972 -1.9686 2.6451 3.0519 7.0934 6.0307" Properties=species:S:1:pos:R:3 pbc="T T T"
Li 1.9084 2.1886 5.5065
Pt -0.3212 3.4098 5.1984
Re -0.8249 1.8111 3.0543
Pt 0.0000 0.0000 0.0000
Re 0.9689 4.0625 8.5449
Li -0.7323 -0.7475 2.3371
Re 1.2524 0.6143 3.4667
Re 1.7781 4.7088 6.3438
```

---

(3)
A geometry-optimized Rb3CdCu2Cl9 structure. Source: Alexandria via LeMat-Bulk, functional PBE.

Values from the calculation:
symmetry: No. 164
M_tot: 0.00 μB/f.u.
formation energy from raw total energies: -1.190 eV per atom

Structure (extended XYZ):
```
15
Lattice="7.0955 0.0000 0.0000 -3.5478 6.1449 0.0000 0.0000 0.0000 8.7272" Properties=species:S:1:pos:R:3 pbc="T T T"
Cl -1.7102 5.0840 2.8098
Cl 3.5478 0.0000 0.0000
Rb 0.0000 4.0966 5.8245
Cl 1.7102 5.0840 2.8098
Cd 0.0000 0.0000 4.3636
Cl -1.7739 3.0725 0.0000
Cu 3.5478 2.0483 7.3779
Cu 0.0000 4.0966 1.3493
Cl 0.0000 2.1218 2.8098
Cl 5.2580 1.0609 5.9173
Rb 0.0000 0.0000 0.0000
Cl 1.8375 1.0609 5.9173
Cl 1.7739 3.0725 0.0000
Cl 3.5478 4.0231 5.9173
Rb 3.5478 2.0483 2.9026
```

---

(4)
A geometry-optimized KYI2 structure. Source: Alexandria via LeMat-Bulk, functional PBE.

Values from the calculation:
symmetry: No. 122
M_tot: 1.88 μB/f.u.
energy above the most stable polymorph in this dataset: 190 meV per atom
formation energy from raw total energies: -0.700 eV per atom

Structure (extended XYZ):
```
8
Lattice="8.8917 0.0000 0.0000 0.0000 8.8917 0.0000 4.4459 4.4459 4.3428" Properties=species:S:1:pos:R:3 pbc="T T T"
Y 8.8917 4.4459 2.1714
I 6.6688 6.3199 3.2571
I 1.8741 6.6688 1.0857
I 7.0176 2.2229 1.0857
Y 0.0000 0.0000 0.0000
I 11.1146 11.4635 3.2571
K 4.4459 4.4459 0.0000
K 4.4459 8.8917 2.1714
```